P:
# CaSm2Te4, relaxed, DFT GGA-PBE
# Volume (Å³ per cell): 982.9
data_CaSm2Te4
_chemical_formula_sum 'Ca4 Sm8 Te16'
_space_group_name_H-M_alt 'C m c m'
_space_group_IT_number 63
_space_group_name_Hall '-C 2c 2'
_cell_length_a 4.404
_cell_length_b 14.547
_cell_length_c 15.344
_cell_angle_alpha 90.00
_cell_angle_beta 90.00
_cell_angle_gamma 90.00
loop_
_atom_site_label
_atom_site_fract_x
_atom_site_fract_y
_atom_site_fract_z
Ca1 0.000 0.115 0.250
Sm1 0.000 0.365 0.071
Te1 0.000 0.000 0.000
Te2 0.000 0.277 0.621
Te3 0.000 0.461 0.250

---

Q:
# CaSm2Te4, relaxed, DFT GGA-PBE
# Volume (Å³ per cell): 861.2
data_CaSm2Te4
_chemical_formula_sum 'Ca4 Sm8 Te16'
_space_group_name_H-M_alt 'I -4 2 d'
_space_group_IT_number 122
_space_group_name_Hall 'I -4 2bw'
_cell_length_a 9.486
_cell_length_b 9.486
_cell_length_c 9.570
_cell_angle_alpha 90.00
_cell_angle_beta 90.00
_cell_angle_gamma 90.00
loop_
_atom_site_label
_atom_site_fract_x
_atom_site_fract_y
_atom_site_fract_z
Ca1 0.000 0.000 0.000
Sm1 0.125 0.750 0.625
Te1 0.074 0.678 0.945

---

The structure with the most favorable energy is Q; the runner-up is 1.6 kJ/mol of atoms above it.

---

P:
# CaSm4Te5, relaxed, DFT GGA-PBE
# Volume (Å³ per cell): 624.0
data_CaSm4Te5
_chemical_formula_sum 'Ca2 Sm8 Te10'
_space_group_name_H-M_alt 'I 4/m'
_space_group_IT_number 87
_space_group_name_Hall '-I 4'
_cell_length_a 9.955
_cell_length_b 9.955
_cell_length_c 6.297
_cell_angle_alpha 90.00
_cell_angle_beta 90.00
_cell_angle_gamma 90.00
loop_
_atom_site_label
_atom_site_fract_x
_atom_site_fract_y
_atom_site_fract_z
Ca1 0.000 0.000 0.000
Sm1 0.099 0.698 0.500
Te1 0.000 0.000 0.500
Te2 0.099 0.703 0.000

---

Q:
# CaSm4Te5, relaxed, DFT GGA-PBE
# Volume (Å³ per cell): 625.2
data_CaSm4Te5
_chemical_formula_sum 'Ca2 Sm8 Te10'
_space_group_name_H-M_alt 'I 4/m m m'
_space_group_IT_number 139
_space_group_name_Hall '-I 4 2'
_cell_length_a 4.441
_cell_length_b 4.441
_cell_length_c 31.704
_cell_angle_alpha 90.00
_cell_angle_beta 90.00
_cell_angle_gamma 90.00
loop_
_atom_site_label
_atom_site_fract_x
_atom_site_fract_y
_atom_site_fract_z
Ca1 0.000 0.000 0.000
Sm1 0.000 0.000 0.197
Sm2 0.000 0.000 0.396
Te1 0.000 0.000 0.098
Te2 0.000 0.000 0.297
Te3 0.000 0.000 0.500

---

The structure with the most favorable energy is Q; the runner-up is 0.7 kJ/mol of atoms above it.

---

P:
# CaSmTh2, relaxed, DFT GGA-PBE
# Volume (Å³ per cell): 417.4
data_CaSmTh2
_chemical_formula_sum 'Ca3 Sm3 Th6'
_space_group_name_H-M_alt 'R -3 m'
_space_group_IT_number 166
_space_group_name_Hall '-R 3 2"'
_cell_length_a 3.5225
_cell_length_b 3.5225
_cell_length_c 38.8484
_cell_angle_alpha 90.00
_cell_angle_beta 90.00
_cell_angle_gamma 120.00
loop_
_atom_site_label
_atom_site_fract_x
_atom_site_fract_y
_atom_site_fract_z
Ca1 0.0000 0.0000 0.0000
Sm1 0.0000 0.0000 0.5000
Th1 0.0000 0.0000 0.0895

---

Q:
# CaSmTh2, relaxed, DFT GGA-PBE
# Volume (Å³ per cell): 134.6
data_CaSmTh2
_chemical_formula_sum 'Ca1 Sm1 Th2'
_space_group_name_H-M_alt 'P 4/m m m'
_space_group_IT_number 123
_space_group_name_Hall '-P 4 2'
_cell_length_a 5.033
_cell_length_b 5.033
_cell_length_c 5.313
_cell_angle_alpha 90.00
_cell_angle_beta 90.00
_cell_angle_gamma 90.00
loop_
_atom_site_label
_atom_site_fract_x
_atom_site_fract_y
_atom_site_fract_z
Ca1 0.000 0.000 0.000
Sm1 0.500 0.500 0.000
Th1 0.000 0.500 0.500

---

The structure with the most favorable energy is Q; the runner-up is 6.3 kJ/mol of atoms above it.

---

P:
# Ca2SmTl, relaxed, DFT GGA-PBE
# Volume (Å³ per cell): 266.5
data_Ca2SmTl
_chemical_formula_sum 'Ca4 Sm2 Tl2'
_space_group_name_H-M_alt 'P 1 21/m 1'
_space_group_IT_number 11
_cell_length_a 5.485
_cell_length_b 10.191
_cell_length_c 5.498
_cell_angle_alpha 90.00
_cell_angle_beta 119.85
_cell_angle_gamma 90.00
loop_
_space_group_symop_operation_xyz
'x,y,z'
'-x,-y,-z'
'-x,y+1/2,-z'
'x,-y+1/2,z'
loop_
_atom_site_label
_atom_site_fract_x
_atom_site_fract_y
_atom_site_fract_z
Ca1 0.166 0.071 0.332
Sm1 0.500 0.250 0.998
Tl1 0.167 0.750 0.336

---

Q:
# Ca2SmTl, relaxed, DFT GGA-PBE
# Volume (Å³ per cell): 131.7
data_Ca2SmTl
_chemical_formula_sum 'Ca2 Sm1 Tl1'
_space_group_name_H-M_alt 'P 4/m m m'
_space_group_IT_number 123
_space_group_name_Hall '-P 4 2'
_cell_length_a 4.190
_cell_length_b 4.190
_cell_length_c 7.503
_cell_angle_alpha 90.00
_cell_angle_beta 90.00
_cell_angle_gamma 90.00
loop_
_atom_site_label
_atom_site_fract_x
_atom_site_fract_y
_atom_site_fract_z
Ca1 0.000 0.000 0.230
Sm1 0.500 0.500 0.500
Tl1 0.500 0.500 0.000

---

The structure with the most favorable energy is P; the runner-up is 6.6 kJ/mol of atoms above it.

---

P:
# Ca2SmTl, relaxed, DFT GGA-PBE
# Volume (Å³ per cell): 127.2
data_Ca2SmTl
_chemical_formula_sum 'Ca2 Sm1 Tl1'
_space_group_name_H-M_alt 'P 4/m m m'
_space_group_IT_number 123
_space_group_name_Hall '-P 4 2'
_cell_length_a 4.909
_cell_length_b 4.909
_cell_length_c 5.279
_cell_angle_alpha 90.00
_cell_angle_beta 90.00
_cell_angle_gamma 90.00
loop_
_atom_site_label
_atom_site_fract_x
_atom_site_fract_y
_atom_site_fract_z
Ca1 0.000 0.500 0.000
Sm1 0.000 0.000 0.500
Tl1 0.500 0.500 0.500

---

Q:
# Ca2SmTl, relaxed, DFT GGA-PBE
# Volume (Å³ per cell): 413.0
data_Ca2SmTl
_chemical_formula_sum 'Ca6 Sm3 Tl3'
_space_group_name_H-M_alt 'R 3 m'
_space_group_IT_number 160
_space_group_name_Hall 'R 3 -2"'
_cell_length_a 3.7530
_cell_length_b 3.7530
_cell_length_c 33.8584
_cell_angle_alpha 90.00
_cell_angle_beta 90.00
_cell_angle_gamma 120.00
loop_
_atom_site_label
_atom_site_fract_x
_atom_site_fract_y
_atom_site_fract_z
Ca1 0.0000 0.0000 0.0000
Ca2 0.0000 0.0000 0.1844
Sm1 0.0000 0.0000 0.7580
Tl1 0.0000 0.0000 0.5923

---

The structure with the most favorable energy is P; the runner-up is 9.8 kJ/mol of atoms above it.

---

P:
# CaSm5Tl4, relaxed, DFT GGA-PBE
# Volume (Å³ per cell): 306.9
data_CaSm5Tl4
_chemical_formula_sum 'Ca1 Sm5 Tl4'
_space_group_name_H-M_alt 'P 4/m m m'
_space_group_IT_number 123
_space_group_name_Hall '-P 4 2'
_cell_length_a 3.718
_cell_length_b 3.718
_cell_length_c 22.205
_cell_angle_alpha 90.00
_cell_angle_beta 90.00
_cell_angle_gamma 90.00
loop_
_atom_site_label
_atom_site_fract_x
_atom_site_fract_y
_atom_site_fract_z
Ca1 0.000 0.000 0.000
Sm1 0.500 0.500 0.127
Sm2 0.500 0.500 0.312
Sm3 0.500 0.500 0.500
Tl1 0.000 0.000 0.217
Tl2 0.000 0.000 0.406

---

Q:
# CaSm5Tl4, relaxed, DFT GGA-PBE
# Volume (Å³ per cell): 700.8
data_CaSm5Tl4
_chemical_formula_sum 'Ca2 Sm10 Tl8'
_space_group_name_H-M_alt 'P m m n'
_space_group_IT_number 59
_cell_length_a 7.608
_cell_length_b 10.584
_cell_length_c 8.704
_cell_angle_alpha 90.00
_cell_angle_beta 90.00
_cell_angle_gamma 90.00
loop_
_space_group_symop_operation_xyz
'x,y,z'
'-x,-y,-z'
'-x+1/2,-y+1/2,z'
'x+1/2,y+1/2,-z'
'x+1/2,-y,-z'
'-x+1/2,y,z'
'-x,y+1/2,-z'
'x,-y+1/2,z'
loop_
_atom_site_label
_atom_site_fract_x
_atom_site_fract_y
_atom_site_fract_z
Ca1 0.250 0.250 0.234
Sm1 0.003 0.052 0.713
Sm2 0.250 0.750 0.890
Tl1 0.053 0.750 0.549
Tl2 0.250 0.030 0.005

---

The structure with the most favorable energy is P; the runner-up is 25.2 kJ/mol of atoms above it.

---

P:
# CaSmTl4, relaxed, DFT GGA-PBE
# Volume (Å³ per cell): 708.0
data_CaSmTl4
_chemical_formula_sum 'Ca4 Sm4 Tl16'
_space_group_name_H-M_alt 'F -4 3 m'
_space_group_IT_number 216
_space_group_name_Hall 'F -4 2 3'
_cell_length_a 8.913
_cell_length_b 8.913
_cell_length_c 8.913
_cell_angle_alpha 90.00
_cell_angle_beta 90.00
_cell_angle_gamma 90.00
loop_
_atom_site_label
_atom_site_fract_x
_atom_site_fract_y
_atom_site_fract_z
Ca1 0.000 0.000 0.000
Sm1 0.250 0.250 0.250
Tl1 0.125 0.125 0.625

---

Q:
# CaSmTl4, relaxed, DFT GGA-PBE
# Volume (Å³ per cell): 176.1
data_CaSmTl4
_chemical_formula_sum 'Ca1 Sm1 Tl4'
_space_group_name_H-M_alt 'P -1'
_space_group_IT_number 2
_cell_length_a 5.066
_cell_length_b 5.118
_cell_length_c 7.817
_cell_angle_alpha 89.52
_cell_angle_beta 90.00
_cell_angle_gamma 60.34
loop_
_space_group_symop_operation_xyz
'x,y,z'
'-x,-y,-z'
loop_
_atom_site_label
_atom_site_fract_x
_atom_site_fract_y
_atom_site_fract_z
Ca1 0.000 0.000 0.000
Sm1 0.000 0.000 0.500
Tl1 0.331 0.334 0.191
Tl2 0.334 0.333 0.676

---

The structure with the most favorable energy is Q; the runner-up is 13.5 kJ/mol of atoms above it.

---

P:
# Ca2SmY, relaxed, DFT GGA-PBE
# Volume (Å³ per cell): 436.7
data_Ca2SmY
_chemical_formula_sum 'Ca6 Sm3 Y3'
_space_group_name_H-M_alt 'R 3 m'
_space_group_IT_number 160
_space_group_name_Hall 'R 3 -2"'
_cell_length_a 3.6937
_cell_length_b 3.6937
_cell_length_c 36.9563
_cell_angle_alpha 90.00
_cell_angle_beta 90.00
_cell_angle_gamma 120.00
loop_
_atom_site_label
_atom_site_fract_x
_atom_site_fract_y
_atom_site_fract_z
Ca1 0.0000 0.0000 0.0000
Ca2 0.0000 0.0000 0.1645
Sm1 0.0000 0.0000 0.5822
Y1 0.0000 0.0000 0.4158

---

Q:
# Ca2SmY, relaxed, DFT GGA-PBE
# Volume (Å³ per cell): 442.0
data_Ca2SmY
_chemical_formula_sum 'Ca6 Sm3 Y3'
_space_group_name_H-M_alt 'R -3 m'
_space_group_IT_number 166
_space_group_name_Hall '-R 3 2"'
_cell_length_a 3.5943
_cell_length_b 3.5943
_cell_length_c 39.5082
_cell_angle_alpha 90.00
_cell_angle_beta 90.00
_cell_angle_gamma 120.00
loop_
_atom_site_label
_atom_site_fract_x
_atom_site_fract_y
_atom_site_fract_z
Ca1 0.0000 0.0000 0.0871
Sm1 0.0000 0.0000 0.5000
Y1 0.0000 0.0000 0.0000

---

The structure with the most favorable energy is P; the runner-up is 12.2 kJ/mol of atoms above it.

---

P:
# Ca2SmY, relaxed, DFT GGA-PBE
# Volume (Å³ per cell): 289.6
data_Ca2SmY
_chemical_formula_sum 'Ca4 Sm2 Y2'
_space_group_name_H-M_alt 'C 1 m 1'
_space_group_IT_number 8
_cell_length_a 7.360
_cell_length_b 12.306
_cell_length_c 3.690
_cell_angle_alpha 90.00
_cell_angle_beta 119.98
_cell_angle_gamma 90.00
loop_
_space_group_symop_operation_xyz
'x,y,z'
'x,-y,z'
'x+1/2,y+1/2,z'
'x+1/2,-y+1/2,z'
loop_
_atom_site_label
_atom_site_fract_x
_atom_site_fract_y
_atom_site_fract_z
Ca1 0.000 0.250 0.000
Sm1 0.167 0.000 0.665
Y1 0.166 0.500 0.664

---

Q:
# Ca2SmY, relaxed, DFT GGA-PBE
# Volume (Å³ per cell): 577.4
data_Ca2SmY
_chemical_formula_sum 'Ca8 Sm4 Y4'
_space_group_name_H-M_alt 'F m -3 m'
_space_group_IT_number 225
_space_group_name_Hall '-F 4 2 3'
_cell_length_a 8.327
_cell_length_b 8.327
_cell_length_c 8.327
_cell_angle_alpha 90.00
_cell_angle_beta 90.00
_cell_angle_gamma 90.00
loop_
_atom_site_label
_atom_site_fract_x
_atom_site_fract_y
_atom_site_fract_z
Ca1 0.250 0.250 0.250
Sm1 0.000 0.000 0.000
Y1 0.000 0.000 0.500

---

The structure with the most favorable energy is P; the runner-up is 4.1 kJ/mol of atoms above it.

---

P:
# Ca2Sm4Y, relaxed, DFT GGA-PBE
# Volume (Å³ per cell): 582.7
data_Ca2Sm4Y
_chemical_formula_sum 'Ca4 Sm8 Y2'
_space_group_name_H-M_alt 'I 4/m m m'
_space_group_IT_number 139
_space_group_name_Hall '-I 4 2'
_cell_length_a 5.707
_cell_length_b 5.707
_cell_length_c 17.892
_cell_angle_alpha 90.00
_cell_angle_beta 90.00
_cell_angle_gamma 90.00
loop_
_atom_site_label
_atom_site_fract_x
_atom_site_fract_y
_atom_site_fract_z
Ca1 0.000 0.000 0.127
Sm1 0.000 0.000 0.327
Sm2 0.000 0.500 0.000
Y1 0.000 0.000 0.500

---

Q:
# Ca2Sm4Y, relaxed, DFT GGA-PBE
# Volume (Å³ per cell): 499.6
data_Ca2Sm4Y
_chemical_formula_sum 'Ca4 Sm8 Y2'
_space_group_name_H-M_alt 'I m m m'
_space_group_IT_number 71
_space_group_name_Hall '-I 2 2'
_cell_length_a 3.577
_cell_length_b 5.891
_cell_length_c 23.709
_cell_angle_alpha 90.00
_cell_angle_beta 90.00
_cell_angle_gamma 90.00
loop_
_atom_site_label
_atom_site_fract_x
_atom_site_fract_y
_atom_site_fract_z
Ca1 0.000 0.000 0.221
Sm1 0.000 0.500 0.130
Sm2 0.000 0.500 0.419
Y1 0.000 0.000 0.500

---

The structure with the most favorable energy is Q; the runner-up is 47.2 kJ/mol of atoms above it.

---

P:
# CaSm7Y3, relaxed, DFT GGA-PBE
# Volume (Å³ per cell): 393.1
data_CaSm7Y3
_chemical_formula_sum 'Ca1 Sm7 Y3'
_space_group_name_H-M_alt 'P 3 m 1'
_space_group_IT_number 156
_cell_length_a 7.1988
_cell_length_b 7.1988
_cell_length_c 8.7588
_cell_angle_alpha 90.00
_cell_angle_beta 90.00
_cell_angle_gamma 120.00
loop_
_space_group_symop_operation_xyz
'x,y,z'
'-y,x-y,z'
'-x+y,-x,z'
'-y,-x,z'
'-x+y,y,z'
'x,x-y,z'
loop_
_atom_site_label
_atom_site_fract_x
_atom_site_fract_y
_atom_site_fract_z
Ca1 0.0000 0.0000 0.0000
Sm1 0.0043 0.5022 0.9944
Sm2 0.3333 0.6667 0.3205
Sm3 0.3373 0.1687 0.3356
Y1 0.1690 0.3380 0.6571

---

Q:
# CaSm7Y3, relaxed, DFT GGA-PBE
# Volume (Å³ per cell): 781.1
data_CaSm7Y3
_chemical_formula_sum 'Ca2 Sm14 Y6'
_space_group_name_H-M_alt 'C 1 2/m 1'
_space_group_IT_number 12
_cell_length_a 11.803
_cell_length_b 10.173
_cell_length_c 6.531
_cell_angle_alpha 90.00
_cell_angle_beta 95.00
_cell_angle_gamma 90.00
loop_
_space_group_symop_operation_xyz
'x,y,z'
'-x,-y,-z'
'-x,y,-z'
'x,-y,z'
'x+1/2,y+1/2,z'
'-x+1/2,-y+1/2,-z'
'-x+1/2,y+1/2,-z'
'x+1/2,-y+1/2,z'
loop_
_atom_site_label
_atom_site_fract_x
_atom_site_fract_y
_atom_site_fract_z
Ca1 0.000 0.000 0.000
Sm1 0.000 0.000 0.500
Sm2 0.235 0.500 0.708
Sm3 0.247 0.172 0.755
Y1 0.000 0.331 0.500
Y2 0.000 0.500 0.000

---

The structure with the most favorable energy is P; the runner-up is 1.5 kJ/mol of atoms above it.

---

P:
# CaSm4Y, relaxed, DFT GGA-PBE
# Volume (Å³ per cell): 866.5
data_CaSm4Y
_chemical_formula_sum 'Ca4 Sm16 Y4'
_space_group_name_H-M_alt 'F -4 3 m'
_space_group_IT_number 216
_space_group_name_Hall 'F -4 2 3'
_cell_length_a 9.534
_cell_length_b 9.534
_cell_length_c 9.534
_cell_angle_alpha 90.00
_cell_angle_beta 90.00
_cell_angle_gamma 90.00
loop_
_atom_site_label
_atom_site_fract_x
_atom_site_fract_y
_atom_site_fract_z
Ca1 0.000 0.000 0.000
Sm1 0.123 0.123 0.623
Y1 0.250 0.250 0.250

---

Q:
# CaSm4Y, relaxed, DFT GGA-PBE
# Volume (Å³ per cell): 206.9
data_CaSm4Y
_chemical_formula_sum 'Ca1 Sm4 Y1'
_space_group_name_H-M_alt 'P 1 2/m 1'
_space_group_IT_number 10
_cell_length_a 3.621
_cell_length_b 5.182
_cell_length_c 11.023
_cell_angle_alpha 90.00
_cell_angle_beta 90.06
_cell_angle_gamma 90.00
loop_
_space_group_symop_operation_xyz
'x,y,z'
'-x,-y,-z'
'-x,y,-z'
'x,-y,z'
loop_
_atom_site_label
_atom_site_fract_x
_atom_site_fract_y
_atom_site_fract_z
Ca1 0.000 0.000 0.000
Sm1 0.001 0.000 0.661
Sm2 0.499 0.500 0.181
Y1 0.500 0.500 0.500

---

The structure with the most favorable energy is Q; the runner-up is 14.2 kJ/mol of atoms above it.

---

P:
# CaSmZn, relaxed, DFT GGA-PBE
# Volume (Å³ per cell): 87.0
data_CaSmZn
_chemical_formula_sum 'Ca1 Sm1 Zn1'
_space_group_name_H-M_alt 'P 3 m 1'
_space_group_IT_number 156
_cell_length_a 5.1188
_cell_length_b 5.1188
_cell_length_c 3.8360
_cell_angle_alpha 90.00
_cell_angle_beta 90.00
_cell_angle_gamma 120.00
loop_
_space_group_symop_operation_xyz
'x,y,z'
'-y,x-y,z'
'-x+y,-x,z'
'-y,-x,z'
'-x+y,y,z'
'x,x-y,z'
loop_
_atom_site_label
_atom_site_fract_x
_atom_site_fract_y
_atom_site_fract_z
Ca1 0.0000 0.0000 0.0000
Sm1 0.3333 0.6667 0.4670
Zn1 0.6667 0.3333 0.7257

---

Q:
# CaSmZn, relaxed, DFT GGA-PBE
# Volume (Å³ per cell): 173.8
data_CaSmZn
_chemical_formula_sum 'Ca2 Sm2 Zn2'
_space_group_name_H-M_alt 'I 4 m m'
_space_group_IT_number 107
_space_group_name_Hall 'I 4 -2'
_cell_length_a 3.637
_cell_length_b 3.637
_cell_length_c 13.141
_cell_angle_alpha 90.00
_cell_angle_beta 90.00
_cell_angle_gamma 90.00
loop_
_atom_site_label
_atom_site_fract_x
_atom_site_fract_y
_atom_site_fract_z
Ca1 0.000 0.000 0.000
Sm1 0.000 0.000 0.275
Zn1 0.000 0.000 0.645

---

The structure with the most favorable energy is Q; the runner-up is 17.5 kJ/mol of atoms above it.